Entry 1:
Sm4TmCd5 | PBE | optimized geometry

As for the crystal system: tetragonal. Its uncorrected energy is -3.11 eV per atom. As for the formation energy: -0.31 eV/atom. For the mass density, the calculation gives 8.119 g/cm3.

The space group is P4/mmm (No. 123) and the conventional cell measures 3.776, 3.776 and 19.115 Å, with angles of 90.00, 90.00 and 90.00 degrees. The asymmetric unit holds Sm at (0.000, 0.000, 0.101), Sm at (0.000, 0.000, 0.304), Tm at (0.000, 0.000, 0.500), Cd at (0.500, 0.500, 0.000), Cd at (0.500, 0.500, 0.202) and Cd at (0.500, 0.500, 0.407).

***

Entry 2:
Sm9Tm4Cd11 | PBE | optimized geometry

As for the crystal system: orthorhombic. Its uncorrected energy is -3.17 eV per atom. As for the formation energy: -0.23 eV/atom. For the mass density, the calculation gives 8.250 g/cm3.

The space group is Cmmm (No. 65) and the conventional cell measures 15.985, 23.268 and 3.534 Å, with angles of 90.00, 90.00 and 90.00 degrees. The asymmetric unit holds Sm at (0.000, 0.000, 0.000), Sm at (0.112, 0.240, 0.000), Sm at (0.124, 0.416, 0.000), Tm at (0.155, 0.093, 0.000), Cd at (0.000, 0.135, 0.500), Cd at (0.000, 0.333, 0.500), Cd at (0.000, 0.500, 0.500), Cd at (0.236, 0.321, 0.500) and Cd at (0.244, 0.000, 0.500).

***

Entry 3:
SmTm2Cd4 | PBE | optimized geometry

As for the crystal system: tetragonal. Its uncorrected energy is -2.62 eV per atom. As for the formation energy: -0.14 eV/atom. For the mass density, the calculation gives 7.956 g/cm3.

The space group is I4/mmm (No. 139) and the conventional cell measures 5.316, 5.316 and 13.852 Å, with angles of 90.00, 90.00 and 90.00 degrees. The asymmetric unit holds Sm at (0.000, 0.000, 0.000), Tm at (0.000, 0.000, 0.258) and Cd at (0.000, 0.500, 0.120).

***

Entry 4:
Sm6Tm12Cd | PBE | optimized geometry

As for the crystal system: trigonal. Its uncorrected energy is -4.26 eV per atom. As for the formation energy: 0.11 eV/atom. For the mass density, the calculation gives 8.517 g/cm3.

The space group is R-3 (No. 148, hexagonal axes) and the conventional cell measures 11.7837, 11.7837 and 14.7959 Å, with angles of 90.00, 90.00 and 120.00 degrees. The asymmetric unit holds Sm at (0.0147, 0.4233, 0.1850), Tm at (0.0015, 0.1735, 0.3130), Tm at (0.0468, 0.8529, 0.9156) and Cd at (0.0000, 0.0000, 0.5000).

***

> mass density of number 4 (Sm6Tm12Cd)?

8.517 g/cm3